# 1
YGa3Rh3 | PBE | optimized geometry

CIF file:
```
data_YGa3Rh3
_chemical_formula_sum 'Y2 Ga6 Rh6'
_symmetry_space_group_name_H-M 'P m -3 n'
_symmetry_Int_Tables_number 223
_symmetry_space_group_name_Hall '-P 4n 2 3'
_cell_length_a 6.685
_cell_length_b 6.685
_cell_length_c 6.685
_cell_angle_alpha 90.00
_cell_angle_beta 90.00
_cell_angle_gamma 90.00
loop_
_atom_site_label
_atom_site_fract_x
_atom_site_fract_y
_atom_site_fract_z
Y1 0.000 0.000 0.000
Ga1 0.000 0.250 0.500
Rh1 0.000 0.500 0.250
```

## Properties
V	21.3	Å³ per atom
total DFT energy (no corrections)	-5.561	eV/atom
ρ	6.746	g/cm3
crystal system	cubic


# 2
Y3Ga6Rh5 | PBE | optimized geometry

CIF file:
```
data_Y3Ga6Rh5
_chemical_formula_sum 'Y6 Ga12 Rh10'
_symmetry_space_group_name_H-M 'P m m n'
_symmetry_Int_Tables_number 59
_cell_length_a 4.236
_cell_length_b 12.534
_cell_length_c 9.346
_cell_angle_alpha 90.00
_cell_angle_beta 90.00
_cell_angle_gamma 90.00
loop_
_symmetry_equiv_pos_as_xyz
'x,y,z'
'-x,-y,-z'
'-x+1/2,-y+1/2,z'
'x+1/2,y+1/2,-z'
'x+1/2,-y,-z'
'-x+1/2,y,z'
'-x,y+1/2,-z'
'x,-y+1/2,z'
loop_
_atom_site_label
_atom_site_fract_x
_atom_site_fract_y
_atom_site_fract_z
Y1 0.250 0.053 0.248
Y2 0.250 0.750 0.241
Ga1 0.250 0.072 0.906
Ga2 0.250 0.250 0.076
Ga3 0.250 0.250 0.457
Ga4 0.250 0.596 0.520
Rh1 0.250 0.095 0.632
Rh2 0.250 0.634 0.966
Rh3 0.250 0.750 0.709
```

## Properties
V	17.7	Å³ per atom
total DFT energy (no corrections)	-6.101	eV/atom
ρ	8.028	g/cm3
crystal system	orthorhombic


# 3
Y4GaRh2 | PBE | optimized geometry

CIF file:
```
data_Y4GaRh2
_chemical_formula_sum 'Y8 Ga2 Rh4'
_symmetry_space_group_name_H-M 'P 1'
_symmetry_Int_Tables_number 1
_cell_length_a 6.939
_cell_length_b 7.008
_cell_length_c 8.349
_cell_angle_alpha 108.05
_cell_angle_beta 107.74
_cell_angle_gamma 105.32
loop_
_symmetry_equiv_pos_as_xyz
'x,y,z'
loop_
_atom_site_label
_atom_site_fract_x
_atom_site_fract_y
_atom_site_fract_z
Y1 0.000 0.000 0.000
Y2 0.031 0.066 0.572
Y3 0.145 0.641 0.289
Y4 0.425 0.595 0.713
Y5 0.517 0.393 0.110
Y6 0.548 0.928 0.180
Y7 0.602 0.138 0.715
Y8 0.858 0.528 0.579
Ga1 0.107 0.471 0.906
Ga2 0.345 0.214 0.383
Rh1 0.282 0.927 0.820
Rh2 0.606 0.750 0.469
Rh3 0.793 0.596 0.973
Rh4 0.961 0.266 0.316
```

## Properties
V	24.1	Å³ per atom
total DFT energy (no corrections)	-6.874	eV/atom
ρ	6.208	g/cm3
crystal system	triclinic


# 4
YGaRh3 | PBE | optimized geometry

CIF file:
```
data_YGaRh3
_chemical_formula_sum 'Y4 Ga4 Rh12'
_symmetry_space_group_name_H-M 'C m c m'
_symmetry_Int_Tables_number 63
_symmetry_space_group_name_Hall '-C 2c 2'
_cell_length_a 6.888
_cell_length_b 14.100
_cell_length_c 4.964
_cell_angle_alpha 90.00
_cell_angle_beta 90.00
_cell_angle_gamma 90.00
loop_
_atom_site_label
_atom_site_fract_x
_atom_site_fract_y
_atom_site_fract_z
Y1 0.000 0.121 0.250
Ga1 0.000 0.341 0.250
Rh1 0.000 0.500 0.000
Rh2 0.186 0.060 0.750
```

## Properties
V	24.1	Å³ per atom
total DFT energy (no corrections)	-6.284	eV/atom
ρ	6.439	g/cm3
crystal system	orthorhombic


# 5
Y3Ga4Rh4 | PBE | optimized geometry

CIF file:
```
data_Y3Ga4Rh4
_chemical_formula_sum 'Y3 Ga4 Rh4'
_symmetry_space_group_name_H-M 'P -1'
_symmetry_Int_Tables_number 2
_cell_length_a 3.803
_cell_length_b 4.373
_cell_length_c 13.007
_cell_angle_alpha 99.30
_cell_angle_beta 98.40
_cell_angle_gamma 90.02
loop_
_symmetry_equiv_pos_as_xyz
'x,y,z'
'-x,-y,-z'
loop_
_atom_site_label
_atom_site_fract_x
_atom_site_fract_y
_atom_site_fract_z
Y1 0.000 0.000 0.000
Y2 0.147 0.651 0.294
Ga1 0.306 0.803 0.612
Ga2 0.449 0.450 0.900
Rh1 0.255 0.255 0.511
Rh2 0.404 0.906 0.807
```

## Properties
V	19.2	Å³ per atom
total DFT energy (no corrections)	-6.324	eV/atom
ρ	7.529	g/cm3
crystal system	triclinic


# 6
YGa8Rh4 | PBE | optimized geometry

CIF file:
```
data_YGa8Rh4
_chemical_formula_sum 'Y3 Ga24 Rh12'
_symmetry_space_group_name_H-M 'R -3 m'
_symmetry_Int_Tables_number 166
_symmetry_space_group_name_Hall '-R 3 2"'
_cell_length_a 5.9018
_cell_length_b 5.9018
_cell_length_c 24.9487
_cell_angle_alpha 90.00
_cell_angle_beta 90.00
_cell_angle_gamma 120.00
loop_
_atom_site_label
_atom_site_fract_x
_atom_site_fract_y
_atom_site_fract_z
Y1 0.0000 0.0000 0.0000
Ga1 0.0000 0.0000 0.2586
Ga2 0.0153 0.5076 0.2416
Rh1 0.0000 0.0000 0.5000
Rh2 0.0000 0.5000 0.0000
```

## Properties
V	19.3	Å³ per atom
total DFT energy (no corrections)	-4.898	eV/atom
ρ	7.005	g/cm3
crystal system	trigonal


# 7
YGa2Rh | PBE | optimized geometry

CIF file:
```
data_YGa2Rh
_chemical_formula_sum 'Y4 Ga8 Rh4'
_symmetry_space_group_name_H-M 'P n m a'
_symmetry_Int_Tables_number 62
_cell_length_a 7.833
_cell_length_b 6.893
_cell_length_c 5.546
_cell_angle_alpha 90.00
_cell_angle_beta 90.00
_cell_angle_gamma 90.00
loop_
_symmetry_equiv_pos_as_xyz
'x,y,z'
'-x,-y,-z'
'-x+1/2,-y,z+1/2'
'x+1/2,y,-z+1/2'
'x+1/2,-y+1/2,-z+1/2'
'-x+1/2,y+1/2,z+1/2'
'-x,y+1/2,-z'
'x,-y+1/2,z'
loop_
_atom_site_label
_atom_site_fract_x
_atom_site_fract_y
_atom_site_fract_z
Y1 0.043 0.250 0.121
Ga1 0.175 0.053 0.610
Rh1 0.108 0.750 0.360
```

## Properties
V	18.7	Å³ per atom
total DFT energy (no corrections)	-5.727	eV/atom
ρ	7.349	g/cm3
crystal system	orthorhombic


# 8
YGa4Rh | PBE | optimized geometry

CIF file:
```
data_YGa4Rh
_chemical_formula_sum 'Y1 Ga4 Rh1'
_symmetry_space_group_name_H-M 'P 4/m m m'
_symmetry_Int_Tables_number 123
_symmetry_space_group_name_Hall '-P 4 2'
_cell_length_a 4.241
_cell_length_b 4.241
_cell_length_c 7.065
_cell_angle_alpha 90.00
_cell_angle_beta 90.00
_cell_angle_gamma 90.00
loop_
_atom_site_label
_atom_site_fract_x
_atom_site_fract_y
_atom_site_fract_z
Y1 0.000 0.000 0.000
Ga1 0.000 0.500 0.300
Rh1 0.000 0.000 0.500
```

## Properties
V	21.2	Å³ per atom
total DFT energy (no corrections)	-4.747	eV/atom
ρ	6.151	g/cm3
crystal system	tetragonal


# 9
YGaRh4 | PBE | optimized geometry

CIF file:
```
data_YGaRh4
_chemical_formula_sum 'Y4 Ga4 Rh16'
_symmetry_space_group_name_H-M 'C m c m'
_symmetry_Int_Tables_number 63
_symmetry_space_group_name_Hall '-C 2c 2'
_cell_length_a 4.034
_cell_length_b 16.504
_cell_length_c 5.993
_cell_angle_alpha 90.00
_cell_angle_beta 90.00
_cell_angle_gamma 90.00
loop_
_atom_site_label
_atom_site_fract_x
_atom_site_fract_y
_atom_site_fract_z
Y1 0.000 0.097 0.250
Ga1 0.000 0.225 0.750
Rh1 0.000 0.076 0.750
Rh2 0.000 0.331 0.031
Rh3 0.000 0.500 0.000
```

## Properties
V	16.6	Å³ per atom
total DFT energy (no corrections)	-6.976	eV/atom
ρ	9.492	g/cm3
crystal system	orthorhombic


# 10
Y4GaRh | PBE | optimized geometry

CIF file:
```
data_Y4GaRh
_chemical_formula_sum 'Y16 Ga4 Rh4'
_symmetry_space_group_name_H-M 'C 1 2/c 1'
_symmetry_Int_Tables_number 15
_cell_length_a 8.942
_cell_length_b 13.374
_cell_length_c 6.123
_cell_angle_alpha 90.00
_cell_angle_beta 120.08
_cell_angle_gamma 90.00
loop_
_symmetry_equiv_pos_as_xyz
'x,y,z'
'-x,-y,-z'
'-x,y,-z+1/2'
'x,-y,z+1/2'
'x+1/2,y+1/2,z'
'-x+1/2,-y+1/2,-z'
'-x+1/2,y+1/2,-z+1/2'
'x+1/2,-y+1/2,z+1/2'
loop_
_atom_site_label
_atom_site_fract_x
_atom_site_fract_y
_atom_site_fract_z
Y1 0.123 0.181 0.092
Y2 0.208 0.435 0.302
Ga1 0.000 0.369 0.750
Rh1 0.000 0.000 0.250
```

## Properties
V	26.4	Å³ per atom
total DFT energy (no corrections)	-6.552	eV/atom
ρ	5.537	g/cm3
crystal system	monoclinic


# 11
YGa4Rh2 | PBE | optimized geometry

CIF file:
```
data_YGa4Rh2
_chemical_formula_sum 'Y4 Ga16 Rh8'
_symmetry_space_group_name_H-M 'P n m a'
_symmetry_Int_Tables_number 62
_cell_length_a 16.583
_cell_length_b 4.185
_cell_length_c 6.806
_cell_angle_alpha 90.00
_cell_angle_beta 90.00
_cell_angle_gamma 90.00
loop_
_symmetry_equiv_pos_as_xyz
'x,y,z'
'-x,-y,-z'
'-x+1/2,-y,z+1/2'
'x+1/2,y,-z+1/2'
'x+1/2,-y+1/2,-z+1/2'
'-x+1/2,y+1/2,z+1/2'
'-x,y+1/2,-z'
'x,-y+1/2,z'
loop_
_atom_site_label
_atom_site_fract_x
_atom_site_fract_y
_atom_site_fract_z
Y1 0.142 0.250 0.070
Ga1 0.023 0.750 0.141
Ga2 0.054 0.250 0.497
Ga3 0.175 0.750 0.377
Ga4 0.208 0.750 0.812
Rh1 0.058 0.750 0.759
Rh2 0.195 0.250 0.602
```

## Properties
V	16.9	Å³ per atom
total DFT energy (no corrections)	-5.471	eV/atom
ρ	8.066	g/cm3
crystal system	orthorhombic


# 12
Y7Ga2Rh2 | PBE | optimized geometry

CIF file:
```
data_Y7Ga2Rh2
_chemical_formula_sum 'Y14 Ga4 Rh4'
_symmetry_space_group_name_H-M 'C m m m'
_symmetry_Int_Tables_number 65
_symmetry_space_group_name_Hall '-C 2 2'
_cell_length_a 7.828
_cell_length_b 10.878
_cell_length_c 7.002
_cell_angle_alpha 90.00
_cell_angle_beta 90.00
_cell_angle_gamma 90.00
loop_
_atom_site_label
_atom_site_fract_x
_atom_site_fract_y
_atom_site_fract_z
Y1 0.000 0.000 0.000
Y2 0.000 0.500 0.255
Y3 0.250 0.250 0.261
Ga1 0.168 0.000 0.500
Rh1 0.000 0.292 0.000
```

## Properties
V	27.1	Å³ per atom
total DFT energy (no corrections)	-6.423	eV/atom
ρ	5.389	g/cm3
crystal system	orthorhombic


# 13
Y3Ga2Rh6 | PBE | optimized geometry

CIF file:
```
data_Y3Ga2Rh6
_chemical_formula_sum 'Y12 Ga8 Rh24'
_symmetry_space_group_name_H-M 'I m -3 m'
_symmetry_Int_Tables_number 229
_symmetry_space_group_name_Hall '-I 4 2 3'
_cell_length_a 9.341
_cell_length_b 9.341
_cell_length_c 9.341
_cell_angle_alpha 90.00
_cell_angle_beta 90.00
_cell_angle_gamma 90.00
loop_
_atom_site_label
_atom_site_fract_x
_atom_site_fract_y
_atom_site_fract_z
Y1 0.000 0.000 0.291
Ga1 0.250 0.250 0.250
Rh1 0.000 0.343 0.343
```

## Properties
V	18.5	Å³ per atom
total DFT energy (no corrections)	-7.036	eV/atom
ρ	8.342	g/cm3
crystal system	cubic


# 14
YGaRh4 | PBE | optimized geometry

CIF file:
```
data_YGaRh4
_chemical_formula_sum 'Y4 Ga4 Rh16'
_symmetry_space_group_name_H-M 'F -4 3 m'
_symmetry_Int_Tables_number 216
_symmetry_space_group_name_Hall 'F -4 2 3'
_cell_length_a 7.401
_cell_length_b 7.401
_cell_length_c 7.401
_cell_angle_alpha 90.00
_cell_angle_beta 90.00
_cell_angle_gamma 90.00
loop_
_atom_site_label
_atom_site_fract_x
_atom_site_fract_y
_atom_site_fract_z
Y1 0.000 0.000 0.000
Ga1 0.250 0.250 0.250
Rh1 0.124 0.124 0.624
```

## Properties
V	16.9	Å³ per atom
total DFT energy (no corrections)	-6.919	eV/atom
ρ	9.343	g/cm3
crystal system	cubic


# 15
Y3Ga2Rh3 | PBE | optimized geometry

CIF file:
```
data_Y3Ga2Rh3
_chemical_formula_sum 'Y12 Ga8 Rh12'
_symmetry_space_group_name_H-M 'P n m a'
_symmetry_Int_Tables_number 62
_cell_length_a 7.594
_cell_length_b 14.986
_cell_length_c 5.674
_cell_angle_alpha 90.00
_cell_angle_beta 90.00
_cell_angle_gamma 90.00
loop_
_symmetry_equiv_pos_as_xyz
'x,y,z'
'-x,-y,-z'
'-x+1/2,-y,z+1/2'
'x+1/2,y,-z+1/2'
'x+1/2,-y+1/2,-z+1/2'
'-x+1/2,y+1/2,z+1/2'
'-x,y+1/2,-z'
'x,-y+1/2,z'
loop_
_atom_site_label
_atom_site_fract_x
_atom_site_fract_y
_atom_site_fract_z
Y1 0.030 0.105 0.139
Y2 0.173 0.250 0.604
Ga1 0.116 0.607 0.367
Rh1 0.179 0.750 0.618
Rh2 0.180 0.036 0.587
```

## Properties
V	20.2	Å³ per atom
total DFT energy (no corrections)	-6.776	eV/atom
ρ	7.353	g/cm3
crystal system	orthorhombic


# 16
Y6GaRh2 | PBE | optimized geometry

CIF file:
```
data_Y6GaRh2
_chemical_formula_sum 'Y24 Ga4 Rh8'
_symmetry_space_group_name_H-M 'I m m m'
_symmetry_Int_Tables_number 71
_symmetry_space_group_name_Hall '-I 2 2'
_cell_length_a 9.373
_cell_length_b 9.591
_cell_length_c 10.256
_cell_angle_alpha 90.00
_cell_angle_beta 90.00
_cell_angle_gamma 90.00
loop_
_atom_site_label
_atom_site_fract_x
_atom_site_fract_y
_atom_site_fract_z
Y1 0.000 0.195 0.240
Y2 0.194 0.500 0.170
Y3 0.219 0.322 0.500
Ga1 0.000 0.000 0.000
Ga2 0.000 0.000 0.500
Rh1 0.000 0.332 0.000
Rh2 0.000 0.500 0.369
```

## Properties
V	25.6	Å³ per atom
total DFT energy (no corrections)	-6.867	eV/atom
ρ	5.828	g/cm3
crystal system	orthorhombic


# 17
Y3Ga4Rh2 | PBE | optimized geometry

CIF file:
```
data_Y3Ga4Rh2
_chemical_formula_sum 'Y6 Ga8 Rh4'
_symmetry_space_group_name_H-M 'C 1 2/m 1'
_symmetry_Int_Tables_number 12
_cell_length_a 10.688
_cell_length_b 4.359
_cell_length_c 8.487
_cell_angle_alpha 90.00
_cell_angle_beta 114.14
_cell_angle_gamma 90.00
loop_
_symmetry_equiv_pos_as_xyz
'x,y,z'
'-x,-y,-z'
'-x,y,-z'
'x,-y,z'
'x+1/2,y+1/2,z'
'-x+1/2,-y+1/2,-z'
'-x+1/2,y+1/2,-z'
'x+1/2,-y+1/2,z'
loop_
_atom_site_label
_atom_site_fract_x
_atom_site_fract_y
_atom_site_fract_z
Y1 0.000 0.000 0.000
Y2 0.183 0.500 0.644
Ga1 0.029 0.000 0.365
Ga2 0.217 0.500 0.058
Rh1 0.095 0.500 0.263
```

## Properties
V	20.0	Å³ per atom
total DFT energy (no corrections)	-5.917	eV/atom
ρ	6.915	g/cm3
crystal system	monoclinic


# 18
YGa8Rh2 | PBE | optimized geometry

CIF file:
```
data_YGa8Rh2
_chemical_formula_sum 'Y1 Ga8 Rh2'
_symmetry_space_group_name_H-M 'P 4/m m m'
_symmetry_Int_Tables_number 123
_symmetry_space_group_name_Hall '-P 4 2'
_cell_length_a 6.297
_cell_length_b 6.297
_cell_length_c 5.333
_cell_angle_alpha 90.00
_cell_angle_beta 90.00
_cell_angle_gamma 90.00
loop_
_atom_site_label
_atom_site_fract_x
_atom_site_fract_y
_atom_site_fract_z
Y1 0.000 0.000 0.000
Ga1 0.292 0.292 0.249
Rh1 0.000 0.500 0.500
```

## Properties
V	19.2	Å³ per atom
total DFT energy (no corrections)	-4.393	eV/atom
ρ	6.694	g/cm3
crystal system	tetragonal